Record 1
This record from Alexandria via LeMat-Bulk describes crystalline Mo2SeCl at its relaxed geometry. The functional is PBE.

Structure (POSCAR):
```
Mo2SeCl
1.0
3.319 0.000 0.000
0.000 3.319 0.000
0.000 0.000 6.558
Mo Se Cl
2 1 1
Direct
0.000 0.000 0.183
0.000 0.000 0.817
0.500 0.500 0.000
0.500 0.500 0.500
```

Raw total energy: -25.44 eV for the cell shown
Distance to the lowest polymorph of the same formula: 581.7 meV/atom
DOS(E_F): 2.39 states/eV per cell



Record 2
This record from Alexandria via LeMat-Bulk describes crystalline Pm4NdTe5 at its relaxed geometry. The functional is PBE.

Structure (POSCAR):
```
Pm4NdTe5
1.0
-2.232 2.232 15.879
2.232 -2.232 15.879
2.232 2.232 -15.879
Pm Nd Te
4 1 5
Direct
0.098 0.098 0.000
0.296 0.296 0.000
0.704 0.704 0.000
0.902 0.902 0.000
0.500 0.500 0.000
0.000 0.000 0.000
0.198 0.198 0.000
0.398 0.398 0.000
0.602 0.602 0.000
0.802 0.802 0.000
```

Raw total energy: -53.58 eV for the cell shown
DOS(E_F): 5.32 states/eV per cell



- Among the records above, which one has the lowest DOS(E_F)?
  Mo2SeCl



- Among the records above, which one has the lowest DOS(E_F)?
  Mo2SeCl



- The lowest DOS(E_F) belongs to which entry?
  Mo2SeCl



- Which of these has the lowest DOS(E_F)?
  Mo2SeCl